This record from the Open Quantum Materials Database describes a relaxed structure of MgBiAu. The functional is PBE.

a b c (Å): 7.7608 7.7608 4.1128
angles (deg): 90.00 90.00 120.00
With the nearest neighbours (Å) after each atom.
Space group P-62m (No. 189)
Asymmetric unit:
Mg 0.0000 0.6027 0.0000 (multiplicity 3)  5 Au 3.08-3.14, 6 Bi 3.28-3.42
Bi 0.0000 0.2734 0.5000 (multiplicity 3)  4 Au 2.85-2.95
Au 0.0000 0.0000 0.0000 (multiplicity 1)  6 Bi 2.95, 3 Mg 3.08
Au 0.3333 0.6667 0.5000 (multiplicity 2)  3 Bi 2.85, 6 Mg 3.14

## Properties
Final energy (eV/cell): -28.5

This record from the Open Quantum Materials Database describes a relaxed structure of ZrCd2Pd. The functional is PBE.

a b c (Å): 6.7495 6.7495 6.7495
angles (deg): 90.00 90.00 90.00
With the nearest neighbours (Å) after each atom.
Space group F-43m (No. 216)
Asymmetric unit:
Zr 0.0000 0.0000 0.0000 (multiplicity 4)  4 Pd 2.92, 4 Cd 2.92
Cd 0.0000 0.0000 0.5000 (multiplicity 4)  4 Cd 2.92, 4 Pd 2.92
Cd 0.2500 0.2500 0.2500 (multiplicity 4)  4 Cd 2.92, 4 Zr 2.92
Pd 0.2500 0.2500 0.7500 (multiplicity 4)  4 Cd 2.92, 4 Zr 2.92

## Properties
Formation energy (kJ/mol of formula units): -125
Final energy (eV/cell): -67.2

This record from the Open Quantum Materials Database describes a relaxed structure of Er3TmSc2CuTe2. The functional is PBE.

a b c (Å): 3.8220 14.2519 8.1935
angles (deg): 90.00 90.00 90.00
With the nearest neighbours (Å) after each atom.
Space group Amm2 (No. 38)
Asymmetric unit:
Er 0.0000 0.0000 0.0000 (multiplicity 2)  2 Cu 2.77
Er 0.0000 0.1247 0.6334 (multiplicity 4)  2 Cu 2.79, 1 Te 3.10
Tm 0.5000 0.0000 0.3526 (multiplicity 2)  4 Te 3.18, 1 Cu 3.30, 6 Er 3.46-3.48
Sc 0.5000 0.2011 0.9563 (multiplicity 4)  4 Te 3.13, 1 Cu 3.31, 6 Er 3.44-3.46
Cu 0.5000 0.0000 0.7552 (multiplicity 2)  6 Er 2.77-2.79
Te 0.0000 0.1693 0.2537 (multiplicity 4)  3 Er 3.10-3.18, 4 Sc 3.13, 2 Tm 3.18

## Properties
Final energy (eV/cell): -92.2

Which of these has the highest final energy?
MgBiAu

Copy entry 1 word for word.
This record from the Open Quantum Materials Database describes a relaxed structure of MgBiAu. The functional is PBE.

a b c (Å): 7.7608 7.7608 4.1128
angles (deg): 90.00 90.00 120.00
With the nearest neighbours (Å) after each atom.
Space group P-62m (No. 189)
Asymmetric unit:
Mg 0.0000 0.6027 0.0000 (multiplicity 3)  5 Au 3.08-3.14, 6 Bi 3.28-3.42
Bi 0.0000 0.2734 0.5000 (multiplicity 3)  4 Au 2.85-2.95
Au 0.0000 0.0000 0.0000 (multiplicity 1)  6 Bi 2.95, 3 Mg 3.08
Au 0.3333 0.6667 0.5000 (multiplicity 2)  3 Bi 2.85, 6 Mg 3.14

## Properties
Final energy (eV/cell): -28.5